Entry from the Alexandria database: a relaxed PrPu2MnN4 crystal (PBE).

Unit cell a=3.410 b=6.019 c=11.485 alpha=90.00 beta=90.00 gamma=106.45
Atoms (fractional coordinates):
1 Pr 0.105 0.209 0.750
2 Pr 0.895 0.791 0.250
3 Pu 0.369 0.738 0.553
4 Pu 0.631 0.262 0.053
5 Pu 0.631 0.262 0.447
6 Pu 0.369 0.738 0.947
7 Mn 0.841 0.682 0.750
8 Mn 0.159 0.318 0.250
9 N 0.266 0.532 0.116
10 N 0.734 0.468 0.616
11 N 0.734 0.468 0.884
12 N 0.266 0.532 0.384
13 N 0.000 0.000 0.500
14 N 0.000 0.000 0.000
15 N 0.437 0.873 0.750
16 N 0.563 0.127 0.250

Summary:
Its magnetic moment is 10.083 Bohr magnetons per cell. As for the electronic total energy: -168.59 eV per cell. Its density of states at the Fermi level is 1.47 states/eV per atom. The uncorrected formation energy comes out at -1.05 eV/atom.

Entry from the Alexandria database: a relaxed TlGaBr2 crystal (PBE).

Unit cell a=7.206 b=7.206 c=8.904 alpha=66.13 beta=66.13 gamma=90.00
Atoms (fractional coordinates):
1 Tl 0.000 0.000 0.000
2 Tl 0.750 0.250 0.500
3 Ga 0.500 0.500 0.000
4 Ga 0.250 0.750 0.500
5 Br 0.599 0.125 0.250
6 Br 0.151 0.625 0.250
7 Br 0.375 0.401 0.750
8 Br 0.875 0.849 0.750

Summary:
The energy relative to the lowest polymorph listed for this composition is 69 meV per atom. Its magnetic moment is 0.000 Bohr magnetons per cell. As for the electronic total energy: -22.45 eV per cell. Its density of states at the Fermi level is 0.00 states/eV per atom. The uncorrected formation energy comes out at -0.62 eV/atom.

Entry from the Alexandria database: a relaxed Ta4CuAu crystal (PBE).

Unit cell a=5.402 b=5.402 c=5.402 alpha=60.00 beta=60.00 gamma=60.00
Atoms (fractional coordinates):
1 Ta 0.878 0.374 0.374
2 Ta 0.374 0.374 0.878
3 Ta 0.374 0.878 0.374
4 Ta 0.374 0.374 0.374
5 Cu 0.000 0.000 0.000
6 Au 0.750 0.750 0.750

Summary:
Its magnetic moment is 0.000 Bohr magnetons per cell. As for the electronic total energy: -51.59 eV per cell. Its density of states at the Fermi level is 1.00 states/eV per atom. As for the formation energy: 3.191 eV/f.u.

Entry from the Alexandria database: a relaxed Cs2NaGe2Br7 crystal (PBE).

Unit cell a=5.611 b=5.611 c=14.865 alpha=80.35 beta=80.35 gamma=89.66
Atoms (fractional coordinates):
1 Cs 0.821 0.821 0.359
2 Cs 0.179 0.179 0.641
3 Na 0.000 0.000 0.000
4 Ge 0.615 0.615 0.808
5 Ge 0.385 0.385 0.192
6 Br 0.500 0.500 0.000
7 Br 0.302 0.302 0.387
8 Br 0.698 0.698 0.613
9 Br 0.925 0.406 0.179
10 Br 0.406 0.925 0.179
11 Br 0.594 0.075 0.821
12 Br 0.075 0.594 0.821

Summary:
Its magnetic moment is 0.000 Bohr magnetons per cell. As for the electronic total energy: -37.27 eV per cell. Its density of states at the Fermi level is 0.00 states/eV per atom. The uncorrected formation energy comes out at -1.11 eV/atom.

Entry from the Alexandria database: a relaxed Ac8SiP3Cl4 crystal (PBE).

Unit cell a=8.870 b=8.871 c=8.870 alpha=120.02 beta=120.00 gamma=90.00
Atoms (fractional coordinates):
1 Ac 0.243 0.724 0.981
2 Ac 0.243 0.724 0.486
3 Ac 0.260 0.279 0.519
4 Ac 0.738 0.724 0.981
5 Ac 0.262 0.276 0.019
6 Ac 0.740 0.721 0.481
7 Ac 0.757 0.276 0.514
8 Ac 0.757 0.276 0.019
9 Si 0.000 0.500 0.000
10 P 0.500 0.500 0.000
11 P 0.500 0.500 0.500
12 P 0.000 0.500 0.500
13 Cl 0.500 0.000 0.000
14 Cl 0.500 0.000 0.500
15 Cl 0.000 0.000 0.000
16 Cl 0.000 0.000 0.500

Summary:
Its magnetic moment is 0.000 Bohr magnetons per cell. As for the electronic total energy: -85.43 eV per cell. Its density of states at the Fermi level is 0.58 states/eV per atom. The uncorrected formation energy comes out at -1.47 eV/atom.

Entry from the Alexandria database: a relaxed MnCu3Pd crystal (PBE).

Unit cell a=6.593 b=4.342 c=10.466 alpha=90.00 beta=90.00 gamma=90.00
Atoms (fractional coordinates):
1 Mn 0.000 0.000 0.140
2 Mn 0.000 0.500 0.360
3 Mn 0.000 0.000 0.860
4 Mn 0.000 0.500 0.640
5 Cu 0.647 0.741 0.118
6 Cu 0.353 0.241 0.618
7 Cu 0.647 0.759 0.618
8 Cu 0.298 0.741 0.500
9 Cu 0.702 0.241 0.000
10 Cu 0.298 0.759 0.000
11 Cu 0.353 0.241 0.382
12 Cu 0.702 0.259 0.500
13 Cu 0.353 0.259 0.882
14 Cu 0.647 0.759 0.382
15 Cu 0.647 0.741 0.882
16 Cu 0.353 0.259 0.118
17 Pd 0.307 0.750 0.750
18 Pd 0.693 0.250 0.750
19 Pd 0.693 0.250 0.250
20 Pd 0.307 0.750 0.250

Summary:
The energy relative to the lowest polymorph listed for this composition is 190 meV per atom. Its magnetic moment is 17.744 Bohr magnetons per cell. As for the electronic total energy: -103.01 eV per cell. Its density of states at the Fermi level is 0.44 states/eV per atom. As for the formation energy: 0.898 eV/f.u.

Entry from the Alexandria database: a relaxed MgNiTeH2 crystal (PBE).

Unit cell a=3.844 b=6.175 c=3.844 alpha=90.00 beta=90.00 gamma=90.00
Atoms (fractional coordinates):
1 Ni 0.500 0.500 0.500
2 Mg 0.000 0.500 0.000
3 Te 0.000 0.000 0.000
4 H 0.000 0.000 0.500
5 H 0.500 0.000 0.000

Summary:
Its magnetic moment is 0.388 Bohr magnetons per cell. As for the electronic total energy: -14.25 eV per cell. Its density of states at the Fermi level is 1.02 states/eV per atom.

Entry from the Alexandria database: a relaxed CeNdTmZn crystal (PBE).

Unit cell a=5.373 b=5.373 c=5.373 alpha=60.00 beta=60.00 gamma=60.00
Atoms (fractional coordinates):
1 Zn 0.750 0.750 0.750
2 Tm 0.250 0.250 0.250
3 Nd 0.500 0.500 0.500
4 Ce 0.000 0.000 0.000

Summary:
Its magnetic moment is 1.311 Bohr magnetons per cell. As for the electronic total energy: -16.21 eV per cell. Its density of states at the Fermi level is 2.04 states/eV per atom. As for the formation energy: 0.241 eV/f.u.

Entry from the Alexandria database: a relaxed CoTeSe crystal (PBE).

Unit cell a=6.078 b=6.078 c=6.078 alpha=90.00 beta=90.00 gamma=90.00
Atoms (fractional coordinates):
1 Co 0.009 0.009 0.009
2 Co 0.491 0.991 0.509
3 Co 0.509 0.491 0.991
4 Co 0.991 0.509 0.491
5 Te 0.366 0.366 0.366
6 Te 0.134 0.634 0.866
7 Te 0.866 0.134 0.634
8 Te 0.634 0.866 0.134
9 Se 0.628 0.628 0.628
10 Se 0.872 0.372 0.128
11 Se 0.128 0.872 0.372
12 Se 0.372 0.128 0.872

Summary:
The energy relative to the lowest polymorph listed for this composition is 13 meV per atom. Its magnetic moment is 1.348 Bohr magnetons per cell. As for the electronic total energy: -57.54 eV per cell. Its density of states at the Fermi level is 0.77 states/eV per atom. The uncorrected formation energy comes out at -0.22 eV/atom.

Entry from the Alexandria database: a relaxed Rb2CdHg2 crystal (PBE).

Unit cell a=7.094 b=7.094 c=6.735 alpha=58.22 beta=58.22 gamma=90.00
Atoms (fractional coordinates):
1 Hg 0.336 0.336 0.327
2 Hg 0.664 0.664 0.673
3 Rb 0.750 0.250 0.500
4 Rb 0.250 0.750 0.500
5 Cd 0.000 0.000 0.000

Summary:
The energy relative to the lowest polymorph listed for this composition is 88 meV per atom. Its magnetic moment is 0.000 Bohr magnetons per cell. As for the electronic total energy: -3.98 eV per cell. Its density of states at the Fermi level is 0.53 states/eV per atom. As for the formation energy: -0.529 eV/f.u.

Entry from the Alexandria database: a relaxed Pr3Dy8 crystal (PBE).

Unit cell a=3.595 b=3.595 c=32.178 alpha=86.80 beta=86.80 gamma=60.00
Atoms (fractional coordinates):
1 Pr 0.272 0.272 0.184
2 Pr 0.728 0.728 0.816
3 Pr 0.000 0.000 0.000
4 Dy 0.182 0.182 0.455
5 Dy 0.364 0.364 0.908
6 Dy 0.636 0.636 0.092
7 Dy 0.818 0.818 0.545
8 Dy 0.545 0.545 0.366
9 Dy 0.092 0.092 0.723
10 Dy 0.908 0.908 0.277
11 Dy 0.455 0.455 0.634

Summary:
The energy relative to the lowest polymorph listed for this composition is 0 meV per atom. Its magnetic moment is 0.000 Bohr magnetons per cell. As for the electronic total energy: -50.96 eV per cell. Its density of states at the Fermi level is 1.25 states/eV per atom. As for the formation energy: 0.198 eV/f.u.